GGA-PBE LiHo2Cu2, relaxed; crystal system = tetragonal; energy of formation from the pure elements = -0.83 eV per formula unit
1.0
-3.374 0.582 -1.415
1.559 -4.716 -5.658
-2.690 -5.749 4.050
Li Ho Cu
2 4 4
direct
0.000 0.000 0.000
0.000 0.500 0.500
0.500 0.171 0.671
0.500 0.671 0.829
0.500 0.829 0.329
0.500 0.329 0.171
0.000 0.378 0.878
0.000 0.878 0.622
0.000 0.622 0.122
0.000 0.122 0.378

GGA-PBE Rb2BaAg2H6, relaxed; crystal system = monoclinic
1.0
6.127 0.000 0.000
-3.064 5.449 -0.048
0.000 -3.174 6.805
Rb Ba Ag H
2 1 2 6
direct
0.701 0.402 0.163
0.299 0.598 0.837
0.500 0.000 0.500
0.950 0.900 0.757
0.050 0.100 0.243
0.769 0.539 0.631
0.200 0.904 0.191
0.296 0.096 0.809
0.800 0.096 0.809
0.704 0.904 0.191
0.231 0.461 0.369

GGA-PBE GeAsPdSe2, relaxed; crystal system = tetragonal; formation energy from raw total energies = 0.757 eV per atom; distance to the lowest polymorph of the same formula = 295 meV/atom
1.0
-2.205 1.216 -4.242
-3.814 -2.911 1.148
-2.213 3.780 2.234
As Ge Se Pd
1 1 2 1
direct
0.000 0.000 0.500
0.000 0.000 0.000
0.000 0.500 0.000
0.500 0.000 0.000
0.500 0.500 0.500

Asked for calculated volume across the records above, the calculation gives 21.00 20.57 23.93 Å³ per atom in order.
Asked for DFT total energy across the records above, the calculation gives -40.18 -31.38 -17.64 eV for the cell shown in order.